Record 1
# CrRePb2O6 (GGA+U, relaxed)
data_CrRePb2O6
_chemical_formula_sum 'Cr2 Re2 Pb4 O12'
_symmetry_space_group_name_H-M 'P 1'
_symmetry_Int_Tables_number 1
_cell_length_a 5.647
_cell_length_b 5.647
_cell_length_c 7.978
_cell_angle_alpha 90.00
_cell_angle_beta 90.00
_cell_angle_gamma 90.00
loop_
_symmetry_equiv_pos_as_xyz
'x,y,z'
loop_
_atom_site_label
_atom_site_type_symbol
_atom_site_fract_x
_atom_site_fract_y
_atom_site_fract_z
Pb1 Pb 0.000 0.250 0.750
Pb2 Pb 0.500 0.750 0.250
Pb3 Pb 0.500 0.750 0.750
Pb4 Pb 0.000 0.250 0.250
Cr1 Cr 0.000 0.750 0.500
Cr2 Cr 0.500 0.250 0.000
O1 O 0.500 0.250 0.748
O2 O 0.000 0.750 0.248
O3 O 0.252 0.498 0.500
O4 O 0.748 0.498 0.500
O5 O 0.252 0.002 0.500
O6 O 0.000 0.750 0.752
O7 O 0.248 0.502 0.000
O8 O 0.752 0.998 0.000
O9 O 0.752 0.502 0.000
O10 O 0.500 0.250 0.252
O11 O 0.748 0.002 0.500
O12 O 0.248 0.998 0.000
Re1 Re 0.500 0.250 0.500
Re2 Re 0.000 0.750 0.000
# - DFT total energy: -0.5228 Ry per atom
# - Space group: I4/mmm

---

Record 2
# Cr2RePbO8 (GGA+U, relaxed)
data_Cr2RePbO8
_chemical_formula_sum 'Cr2 Re1 Pb1 O8'
_symmetry_space_group_name_H-M 'P 1'
_symmetry_Int_Tables_number 1
_cell_length_a 4.683
_cell_length_b 4.680
_cell_length_c 6.490
_cell_angle_alpha 90.00
_cell_angle_beta 90.00
_cell_angle_gamma 90.54
loop_
_symmetry_equiv_pos_as_xyz
'x,y,z'
loop_
_atom_site_label
_atom_site_type_symbol
_atom_site_fract_x
_atom_site_fract_y
_atom_site_fract_z
O1 O 0.198 0.802 0.787
O2 O 0.673 0.674 0.500
O3 O 0.327 0.326 0.500
O4 O 0.706 0.706 0.000
O5 O 0.294 0.294 0.000
O6 O 0.802 0.198 0.787
O7 O 0.198 0.802 0.213
O8 O 0.802 0.198 0.213
Cr1 Cr 0.500 0.500 0.756
Cr2 Cr 0.500 0.500 0.244
Re1 Re 0.000 0.000 0.000
Pb1 Pb 0.000 0.000 0.500
# - DFT total energy: -0.5449 Ry per atom
# - Space group: Cmmm

---

Record 3
# CrRe2PbO (GGA+U, relaxed)
data_CrRe2PbO
_chemical_formula_sum 'Cr1 Re2 Pb1 O1'
_symmetry_space_group_name_H-M 'P 1'
_symmetry_Int_Tables_number 1
_cell_length_a 4.495
_cell_length_b 5.344
_cell_length_c 4.495
_cell_angle_alpha 90.00
_cell_angle_beta 90.00
_cell_angle_gamma 90.00
loop_
_symmetry_equiv_pos_as_xyz
'x,y,z'
loop_
_atom_site_label
_atom_site_type_symbol
_atom_site_fract_x
_atom_site_fract_y
_atom_site_fract_z
Re1 Re 0.000 0.000 0.500
Re2 Re 0.500 0.000 0.000
Cr1 Cr 0.000 0.000 0.000
O1 O 0.500 0.500 0.500
Pb1 Pb 0.000 0.500 0.000
# - DFT total energy: -0.4372 Ry per atom
# - Space group: P4/mmm

---

Record 4
# Cr2RhPbO8 (GGA+U, relaxed)
data_Cr2RhPbO8
_chemical_formula_sum 'Cr2 Rh1 Pb1 O8'
_symmetry_space_group_name_H-M 'P 1'
_symmetry_Int_Tables_number 1
_cell_length_a 5.172
_cell_length_b 5.172
_cell_length_c 7.223
_cell_angle_alpha 90.00
_cell_angle_beta 90.00
_cell_angle_gamma 120.00
loop_
_symmetry_equiv_pos_as_xyz
'x,y,z'
loop_
_atom_site_label
_atom_site_type_symbol
_atom_site_fract_x
_atom_site_fract_y
_atom_site_fract_z
O1 O 0.676 0.725 0.675
O2 O 0.951 0.676 0.325
O3 O 0.333 0.667 0.973
O4 O 0.275 0.951 0.675
O5 O 0.667 0.333 0.027
O6 O 0.049 0.324 0.675
O7 O 0.725 0.049 0.325
O8 O 0.324 0.275 0.325
Rh1 Rh 0.000 0.000 0.500
Cr1 Cr 0.667 0.333 0.258
Cr2 Cr 0.333 0.667 0.742
Pb1 Pb 0.000 0.000 0.000
# - DFT total energy: -0.4806 Ry per atom
# - Space group: P-3

---

Calculated M_tot, 0.100 0.517 0.633 0.083 μB/atom (same order as the records).